[1]
A geometry-optimized NaCaCo structure. Source: Alexandria via LeMat-Bulk, functional PBE.

Cell and atoms, written as CIF:
```
data_NaCaCo
_cell_length_a 3.876
_cell_length_b 3.876
_cell_length_c 13.837
_cell_angle_alpha 82.00
_cell_angle_beta 81.98
_cell_angle_gamma 60.00
_symmetry_space_group_name_H-M 'P 1'
_symmetry_Int_Tables_number 1
_symmetry_space_group_name_Hall 'P 1'
loop_
_atom_site_label
_atom_site_type_symbol
_atom_site_fract_x
_atom_site_fract_y
_atom_site_fract_z
Na1 Na 0.000 0.000 0.000
Na2 Na 0.409 0.413 0.772
Ca1 Ca 0.155 0.158 0.531
Ca2 Ca 0.252 0.254 0.241
Co1 Co 0.536 0.539 0.387
Co2 Co 0.870 0.873 0.386
```

**D(E_F)**: 3.99 states/eV/cell


[2]
A geometry-optimized Na3CaCo structure. Source: Alexandria via LeMat-Bulk, functional PBE.

Cell and atoms, written as CIF:
```
data_Na3CaCo
_cell_length_a 6.316
_cell_length_b 6.316
_cell_length_c 6.316
_cell_angle_alpha 90.00
_cell_angle_beta 90.00
_cell_angle_gamma 90.00
_symmetry_space_group_name_H-M 'P m -3 m'
_symmetry_Int_Tables_number 221
_symmetry_space_group_name_Hall '-P 4 2 3'
loop_
_atom_site_label
_atom_site_type_symbol
_atom_site_fract_x
_atom_site_fract_y
_atom_site_fract_z
Na1 Na 0.000 0.000 0.500
Ca1 Ca 0.000 0.000 0.000
Co1 Co 0.500 0.500 0.500
```

**D(E_F)**: 30.31 states/eV/cell


[3]
A geometry-optimized NaCaCo2Ni structure. Source: Alexandria via LeMat-Bulk, functional PBE.

Cell and atoms, written as CIF:
```
data_NaCaCo2Ni
_cell_length_a 4.815
_cell_length_b 4.815
_cell_length_c 4.826
_cell_angle_alpha 90.00
_cell_angle_beta 90.00
_cell_angle_gamma 90.00
_symmetry_space_group_name_H-M 'P 4/m m m'
_symmetry_Int_Tables_number 123
_symmetry_space_group_name_Hall '-P 4 2'
loop_
_atom_site_label
_atom_site_type_symbol
_atom_site_fract_x
_atom_site_fract_y
_atom_site_fract_z
Na1 Na 0.000 0.000 0.000
Ca1 Ca 0.500 0.500 0.500
Co1 Co 0.000 0.500 0.500
Ni1 Ni 0.500 0.500 0.000
```

**D(E_F)**: 13.78 states/eV/cell


| no. | energy relative to the elements (eV per atom) |
| --- | --- |
| 1 | 0.015 |
| 2 | 1.343 |
| 3 | 1.590 |